Material: Nb2CS
Method: DFT, PBE
State: optimized geometry

Results
Total DFT energy (no corrections) = -9.152 eV/atom
SG = R-3c, No. 167
Calculated volume = 13.9 A^3/atom

Unit cell a=12.202 b=12.202 c=12.202 alpha=27.19 beta=27.19 gamma=27.19
Element x y z (fractional)
Nb1 0.032 0.364 0.699
Nb2 0.136 0.468 0.801
Nb3 0.199 0.864 0.532
Nb4 0.301 0.968 0.636
Nb5 0.364 0.699 0.032
Nb6 0.468 0.801 0.136
Nb7 0.532 0.199 0.864
Nb8 0.636 0.301 0.968
Nb9 0.699 0.032 0.364
Nb10 0.801 0.136 0.468
Nb11 0.864 0.532 0.199
Nb12 0.968 0.636 0.301
C1 0.000 0.000 0.000
C2 0.167 0.167 0.167
C3 0.333 0.333 0.333
C4 0.500 0.500 0.500
C5 0.667 0.667 0.667
C6 0.833 0.833 0.833
S1 0.084 0.750 0.416
S2 0.250 0.584 0.916
S3 0.416 0.084 0.750
S4 0.584 0.916 0.250
S5 0.750 0.416 0.084
S6 0.916 0.250 0.584